No. 1
DFT (PBEsol) results for a relaxed structure of ScGaTcH2.

Results
For the density of states at the Fermi level, the calculation gives 0.534 states/eV per atom. For the total energy, the calculation gives -5.25 eV/atom. The total moment is 0.84 Bohr magnetons per cell.

Lattice parameters (Å, degrees): 3.590 3.590 5.400 90.00 90.00 90.00
Positions (direct):
Sc: 0.000 0.000 0.000
Ga: 0.500 0.500 0.500
Tc: 0.000 0.000 0.500
H: 0.000 0.500 0.000
H: 0.500 0.000 0.000

---

No. 2
DFT (PBEsol) results for a relaxed structure of Zr2ScAu.

Results
For the density of states at the Fermi level, the calculation gives 1.400 states/eV per atom. For the formation energy from the elements, the calculation gives -182 meV/atom. For the total energy, the calculation gives -7.36 eV/atom. The total moment is 0.00 Bohr magnetons per cell.

Lattice parameters (Å, degrees): 5.582 5.582 3.126 99.35 99.35 119.14
Positions (direct):
Zr: 0.000 0.500 0.000
Zr: 0.500 0.000 0.000
Sc: 0.000 0.000 0.500
Au: 0.500 0.500 0.500

---

No. 3
DFT (PBEsol) results for a relaxed structure of TiCr3Os.

Results
For the density of states at the Fermi level, the calculation gives 1.255 states/eV per atom. For the formation energy from the elements, the calculation gives 1643 meV/atom. For the total energy, the calculation gives -8.61 eV/atom. The total moment is 0.00 Bohr magnetons per cell.

Lattice parameters (Å, degrees): 4.104 4.104 4.104 90.00 90.00 90.00
Positions (direct):
Ti: 0.000 0.000 0.000
Cr: 0.000 0.000 0.500
Cr: 0.000 0.500 0.000
Cr: 0.500 0.000 0.000
Os: 0.500 0.500 0.500